[1]
U2NiAg2Se6 | PBE-GGA | relaxed

Structure (POSCAR):
```
U2NiAg2Se6
1.0
-1.292 -6.077 3.111
5.835 0.935 -3.654
1.282 3.980 5.475
Ag U Se Ni
2 2 6 1
Cartesian
0.011 -4.795 1.875
4.533 -0.346 -2.418
4.114 0.602 1.325
1.711 -1.763 3.607
2.654 -3.923 2.068
4.863 -1.750 -0.029
3.171 2.761 2.864
1.328 -0.019 1.380
0.962 0.588 4.961
4.496 -1.143 3.552
0.641 1.990 2.737
```

Properties
ΔE_f (raw)	-0.60	eV per atom



[2]
UNi2Ag3Se6 | PBE-GGA | relaxed

Structure (POSCAR):
```
UNi2Ag3Se6
1.0
6.402 0.046 0.062
-3.160 5.568 0.062
-1.016 -1.759 6.715
Ni Se Ag U
2 6 3 1
Cartesian
-0.005 3.746 0.062
3.247 1.867 0.062
2.325 -0.042 1.527
-1.198 1.993 1.527
3.424 1.861 5.313
-0.099 3.896 5.313
0.203 0.352 5.354
2.023 3.502 1.485
-2.374 3.941 3.420
4.600 -0.087 3.420
1.113 1.927 3.420
0.000 0.000 0.000
```

Properties
ΔE_f (raw)	-0.36	eV per atom



[3]
U3NiAg3Se8 | PBE-GGA | relaxed

Structure (POSCAR):
```
U3NiAg3Se8
1.0
-1.650 -2.672 7.457
6.187 -3.151 -4.150
0.442 7.563 2.807
Ag Se U Ni
3 8 3 1
Cartesian
3.093 -1.576 -2.075
0.000 0.000 0.000
2.268 -2.911 1.654
2.791 -0.351 0.492
6.110 1.751 -0.361
-0.251 1.414 2.500
2.800 3.434 1.850
5.230 0.326 3.615
2.188 2.091 5.623
2.179 -1.694 4.265
-1.131 -0.011 6.476
2.489 0.870 3.057
-0.604 2.445 5.132
3.315 2.206 -0.671
0.221 3.781 1.404
```

Properties
ΔE_f (raw)	-0.60	eV per atom



[4]
YNiAgSe2 | PBE-GGA | relaxed

Structure (POSCAR):
```
YNiAgSe2
1.0
5.414 0.000 0.000
0.000 5.043 0.000
0.000 0.000 5.414
Se Y Ag Ni
2 1 1 1
Cartesian
2.707 0.000 0.000
0.000 0.000 2.707
0.000 0.000 0.000
2.707 2.522 2.707
0.000 2.522 0.000
```

Properties
ΔE_f (raw)	0.31	eV per atom



[5]
SiNi4Ag | PBE-GGA | relaxed

Structure (POSCAR):
```
SiNi4Ag
1.0
-1.935 -4.259 -0.787
-1.284 -2.734 3.657
-4.597 -0.724 0.921
Ag Ni Si
1 4 1
Cartesian
0.000 0.000 0.000
-2.934 -2.896 1.423
-3.898 -5.019 1.031
-3.574 -4.259 3.246
-5.225 -3.257 1.882
-5.862 -5.787 2.844
```

Properties
ΔE_f (raw)	0.15	eV per atom



[6]
SiNi2Ag | PBE-GGA | relaxed

Structure (POSCAR):
```
SiNi2Ag
1.0
-2.474 5.195 -3.218
-3.737 1.461 5.231
-1.223 4.803 1.940
Ni Si Ag
4 2 2
Cartesian
-3.069 3.010 3.199
-3.425 6.167 2.458
-2.202 4.383 -0.720
-6.175 9.356 2.967
-3.106 3.328 1.006
-4.033 4.796 4.089
-3.402 6.663 -0.136
0.000 0.000 0.000
```

Properties
ΔE_f (raw)	0.07	eV per atom



[7]
SiNiAg3 | PBE-GGA | relaxed

Structure (POSCAR):
```
SiNiAg3
1.0
4.700 0.000 0.000
0.000 4.700 0.000
0.000 0.000 4.700
Si Ag Ni
1 3 1
Cartesian
0.000 0.000 0.000
2.350 0.000 0.000
0.000 2.350 0.000
0.000 0.000 2.350
2.350 2.350 2.350
```

Properties
ΔE_f (raw)	0.81	eV per atom



[8]
Si3NiAg | PBE-GGA | relaxed

Structure (POSCAR):
```
Si3NiAg
1.0
-0.971 -0.552 -4.306
4.333 0.149 -0.996
0.268 -4.411 0.506
Si Ni Ag
3 1 1
Cartesian
0.134 -2.206 0.253
-0.486 -0.276 -2.153
2.166 0.074 -0.498
0.000 0.000 0.000
1.815 -2.407 -2.398
```

Properties
ΔE_f (raw)	0.47	eV per atom